Entry 1:
Density functional theory data (PBE) for an optimized crystal structure of K2BaAlH6. Values from VASP.

Uncorrected energy, Ry/atom: -0.2172

```
&SYSTEM
  ibrav = 0, nat = 10, ntyp = 4
/
ATOMIC_SPECIES
Ba 137.33 Ba.upf
H 1.01 H.upf
K 39.10 K.upf
Al 26.98 Al.upf
CELL_PARAMETERS angstrom
-2.897 -5.096 1.796
3.250 -3.276 -4.037
2.883 3.510 4.132
ATOMIC_POSITIONS crystal
Ba 0.500 0.500 0.000
H 0.795 0.796 0.590
K 0.250 0.751 0.500
H 0.205 0.205 0.000
H 0.205 0.795 0.000
Al 0.000 0.000 0.000
K 0.750 0.251 0.500
H 0.795 0.205 0.999
H 0.205 0.205 0.410
H 0.795 0.795 0.999
```


Entry 2:
Density functional theory data (PBE) for an optimized crystal structure of Pm5Nd12Y2. Values from VASP.

Uncorrected energy, Ry/atom: -0.3543
Energy of formation from the pure elements, meV per atom: 121
Energy above the lowest structure with this stoichiometry, meV per atom: 0.0

```
&SYSTEM
  ibrav = 0, nat = 19, ntyp = 3
/
ATOMIC_SPECIES
Y 88.91 Y.upf
Pm 145.00 Pm.upf
Nd 144.24 Nd.upf
CELL_PARAMETERS angstrom
-0.301 -2.371 7.713
8.723 3.517 1.664
0.011 9.059 3.028
ATOMIC_POSITIONS crystal
Y 0.000 0.242 0.758
Pm 0.516 0.246 0.246
Pm 0.500 0.000 0.000
Nd 0.117 0.850 0.850
Pm 0.081 0.351 0.351
Nd 0.795 0.038 0.580
Nd 0.883 0.150 0.150
Nd 0.389 0.619 0.169
Nd 0.611 0.381 0.831
Nd 0.611 0.831 0.381
Y 0.000 0.758 0.242
Nd 0.205 0.962 0.420
Pm 0.919 0.649 0.649
Nd 0.292 0.551 0.551
Nd 0.205 0.420 0.962
Nd 0.708 0.449 0.449
Pm 0.484 0.754 0.754
Nd 0.389 0.169 0.619
Nd 0.795 0.580 0.038
```


Entry 3:
Density functional theory data (PBE) for an optimized crystal structure of LaZn2Tc. Values from VASP.

Uncorrected energy, Ry/atom: -0.3250
Energy of formation from the pure elements, meV per atom: 39
Energy above the lowest structure with this stoichiometry, meV per atom: 46.7

```
&SYSTEM
  ibrav = 0, nat = 4, ntyp = 3
/
ATOMIC_SPECIES
La 138.91 La.upf
Zn 65.41 Zn.upf
Tc 98.00 Tc.upf
CELL_PARAMETERS angstrom
-2.842 0.994 0.123
-1.177 -3.093 -2.194
-0.954 -3.381 5.277
ATOMIC_POSITIONS crystal
La 0.500 0.500 0.250
Zn 0.000 0.000 0.941
Zn 0.000 0.000 0.559
Tc 0.500 0.500 0.750
```